CrCdO4: optimized geometry, PBE+U.

Summary:
- DFT total energy (eV/atom) = -5.91
- theoretical density (g/cm³) = 4.15
- DOS at the Fermi energy (states/eV/atom) = 0.00
- symmetry = Cmcm
- energy above the lowest structure with this stoichiometry (meV/atom) = 0

Cell lengths 5.3171, 5.3171, 7.1035 Å; angles 90.00, 90.00, 114.59 degrees
Sites, in units of the cell vectors:
1 Cd 0.0000 0.0000 0.5000
2 O 0.7478 0.2522 0.0611
3 O 0.7094 0.7784 0.7500
4 O 0.2522 0.7478 0.5611
5 O 0.2906 0.2216 0.2500
6 O 0.2522 0.7478 0.9389
7 Cd 0.0000 0.0000 0.0000
8 O 0.7478 0.2522 0.4389
9 Cr 0.6428 0.3572 0.2500
10 Cr 0.3572 0.6428 0.7500
11 O 0.2216 0.2906 0.7500
12 O 0.7784 0.7094 0.2500


CrCd2O4: optimized geometry, PBE+U.

Summary:
- DFT total energy (eV/atom) = -5.25
- theoretical density (g/cm³) = 6.65
- DOS at the Fermi energy (states/eV/atom) = 0.28
- symmetry = I4/mmm

Cell lengths 3.7118, 3.7118, 6.7128 Å; angles 73.95, 73.95, 90.00 degrees
Each line ends with the local moment (μB).
Sites, in units of the cell vectors:
1 Cr 0.0000 0.0000 0.0000  2.23
2 O 0.5000 0.0000 0.0000  -0.12
3 Cd 0.3445 0.3445 0.3110  0.01
4 O 0.8354 0.8354 0.3291  -0.01
5 O 0.1646 0.1646 0.6709  -0.01
6 Cd 0.6555 0.6555 0.6890  0.01
7 O 0.0000 0.5000 0.0000  -0.12


CrCd3O: optimized geometry, PBE+U.

Summary:
- DFT total energy (eV/atom) = -2.98
- theoretical density (g/cm³) = 6.64
- DOS at the Fermi energy (states/eV/atom) = 0.53
- symmetry = Pm-3m
- energy above the lowest structure with this stoichiometry (meV/atom) = 0

Cell lengths 4.6633, 4.6633, 4.6633 Å; angles 90.00, 90.00, 90.00 degrees
Each line ends with the local moment (μB).
Sites, in units of the cell vectors:
1 O 0.0000 0.0000 0.0000  0.03
2 Cr 0.5000 0.5000 0.5000  4.28
3 Cd 0.5000 0.0000 0.0000  -0.02
4 Cd 0.0000 0.5000 0.0000  0.00
5 Cd 0.0000 0.0000 0.5000  -0.02


CrCdO3: optimized geometry, PBE+U.

Summary:
- DFT total energy (eV/atom) = -4.56
- theoretical density (g/cm³) = 5.23
- DOS at the Fermi energy (states/eV/atom) = 1.05
- symmetry = Pm-3m

Cell lengths 4.0692, 4.0692, 4.0692 Å; angles 90.00, 90.00, 90.00 degrees
Each line ends with the local moment (μB).
Sites, in units of the cell vectors:
1 O 0.0000 0.0000 0.5000  -0.19
2 O 0.5000 0.0000 0.0000  -0.28
3 O 0.0000 0.5000 0.0000  -0.35
4 Cd 0.0000 0.0000 0.0000  -0.02
5 Cr 0.5000 0.5000 0.5000  4.04


CrCdO3: optimized geometry, PBE+U.

Summary:
- DFT total energy (eV/atom) = -5.77
- theoretical density (g/cm³) = 6.49
- DOS at the Fermi energy (states/eV/atom) = 1.05
- symmetry = Pm-3m

Cell lengths 3.7877, 3.7877, 3.7877 Å; angles 90.00, 90.00, 90.00 degrees
Each line ends with the local moment (μB).
Sites, in units of the cell vectors:
1 O 0.5000 0.0000 0.0000  -0.23
2 O 0.0000 0.5000 0.0000  -0.10
3 Cd 0.5000 0.5000 0.5000  0.03
4 Cr 0.0000 0.0000 0.0000  2.32
5 O 0.0000 0.0000 0.5000  -0.04


CrCd3O: optimized geometry, PBE+U.

Summary:
- DFT total energy (eV/atom) = -2.22
- theoretical density (g/cm³) = 4.23
- DOS at the Fermi energy (states/eV/atom) = 1.56
- symmetry = Pm-3m
- energy above the lowest structure with this stoichiometry (meV/atom) = 760

Cell lengths 5.4182, 5.4182, 5.4182 Å; angles 90.00, 90.00, 90.00 degrees
Each line ends with the local moment (μB).
Sites, in units of the cell vectors:
1 Cd 0.5000 0.0000 0.0000  0.04
2 Cd 0.0000 0.0000 0.5000  -0.01
3 Cd 0.0000 0.5000 0.0000  0.00
4 Cr 0.0000 0.0000 0.0000  4.30
5 O 0.5000 0.5000 0.5000  -0.99


Q: Among the records above, which one has the lowest DOS at the Fermi energy?
A: CrCdO4